No. 1
# YB2Pd GGA-PBEsol optimized geometry
# Crystal system = cubic
# Total DFT energy (no corrections) = -6.50 eV per atom
# N(E_F) = 0.535 states/eV per atom
# E_form = 0.80 eV/f.u.
data_YB2Pd
_chemical_formula_sum 'Y4 B8 Pd4'
_symmetry_space_group_name_H-M 'F m -3 m'
_symmetry_Int_Tables_number 225
_symmetry_space_group_name_Hall '-F 4 2 3'
_cell_length_a 5.897
_cell_length_b 5.897
_cell_length_c 5.897
_cell_angle_alpha 90.00
_cell_angle_beta 90.00
_cell_angle_gamma 90.00
loop_
_atom_site_label
_atom_site_type_symbol
_atom_site_fract_x
_atom_site_fract_y
_atom_site_fract_z
_atom_site_occupancy
Y1 Y 0.000 0.000 0.000 1
B1 B 0.250 0.250 0.250 1
Pd1 Pd 0.000 0.000 0.500 1



No. 2
# Y2B5Pd14 GGA-PBEsol optimized geometry
# Crystal system = tetragonal
# Total DFT energy (no corrections) = -6.80 eV per atom
# N(E_F) = 0.401 states/eV per atom
# E_form = -10.62 eV/f.u.
data_Y2B5Pd14
_chemical_formula_sum 'Y8 B20 Pd56'
_symmetry_space_group_name_H-M 'I 41/a m d'
_symmetry_Int_Tables_number 141
_cell_length_a 8.180
_cell_length_b 8.180
_cell_length_c 16.857
_cell_angle_alpha 90.00
_cell_angle_beta 90.00
_cell_angle_gamma 90.00
loop_
_symmetry_equiv_pos_as_xyz
'x,y,z'
'-x,-y,-z'
'-y+1/4,x+3/4,z+1/4'
'y+1/4,-x+3/4,-z+1/4'
'-x+1/2,-y,z+1/2'
'x+1/2,y,-z+1/2'
'y+1/4,-x+1/4,z+3/4'
'-y+1/4,x+1/4,-z+3/4'
'x,-y,-z'
'-x,y,z'
'-y+1/4,-x+1/4,-z+3/4'
'y+1/4,x+1/4,z+3/4'
'-x+1/2,y,-z+1/2'
'x+1/2,-y,z+1/2'
'y+1/4,x+3/4,-z+1/4'
'-y+1/4,-x+3/4,z+1/4'
'x+1/2,y+1/2,z+1/2'
'-x+1/2,-y+1/2,-z+1/2'
'-y+3/4,x+1/4,z+3/4'
'y+3/4,-x+1/4,-z+3/4'
'-x,-y+1/2,z'
'x,y+1/2,-z'
'y+3/4,-x+3/4,z+1/4'
'-y+3/4,x+3/4,-z+1/4'
'x+1/2,-y+1/2,-z+1/2'
'-x+1/2,y+1/2,z+1/2'
'-y+3/4,-x+3/4,-z+1/4'
'y+3/4,x+3/4,z+1/4'
'-x,y+1/2,-z'
'x,-y+1/2,z'
'y+3/4,x+1/4,-z+3/4'
'-y+3/4,-x+1/4,z+3/4'
loop_
_atom_site_label
_atom_site_type_symbol
_atom_site_fract_x
_atom_site_fract_y
_atom_site_fract_z
_atom_site_occupancy
Y1 Y 0.000 0.250 0.091 1
B1 B 0.000 0.250 0.375 1
B2 B 0.211 0.000 0.000 1
Pd1 Pd 0.000 0.000 0.500 1
Pd2 Pd 0.000 0.037 0.231 1
Pd3 Pd 0.000 0.082 0.932 1
Pd4 Pd 0.188 0.062 0.375 1



No. 3
# PrB6 GGA-PBEsol optimized geometry
# Crystal system = cubic
# Total DFT energy (no corrections) = -7.26 eV per atom
# N(E_F) = 0.115 states/eV per atom
# E_form = -3.53 eV/f.u.
data_PrB6
_chemical_formula_sum 'Pr1 B6'
_symmetry_space_group_name_H-M 'P m -3 m'
_symmetry_Int_Tables_number 221
_symmetry_space_group_name_Hall '-P 4 2 3'
_cell_length_a 4.122
_cell_length_b 4.122
_cell_length_c 4.122
_cell_angle_alpha 90.00
_cell_angle_beta 90.00
_cell_angle_gamma 90.00
loop_
_atom_site_label
_atom_site_type_symbol
_atom_site_fract_x
_atom_site_fract_y
_atom_site_fract_z
_atom_site_occupancy
Pr1 Pr 0.000 0.000 0.000 1
B1 B 0.200 0.500 0.500 1



No. 4
# PrBPt2 GGA-PBEsol optimized geometry
# Crystal system = hexagonal
# Total DFT energy (no corrections) = -7.43 eV per atom
# N(E_F) = 0.306 states/eV per atom
# E_form = -3.61 eV/f.u.
data_PrBPt2
_chemical_formula_sum 'Pr3 B3 Pt6'
_symmetry_space_group_name_H-M 'P 64 2 2'
_symmetry_Int_Tables_number 181
_symmetry_space_group_name_Hall 'P 64 2 (0 0 2)'
_cell_length_a 5.4501
_cell_length_b 5.4501
_cell_length_c 7.8929
_cell_angle_alpha 90.00
_cell_angle_beta 90.00
_cell_angle_gamma 120.00
loop_
_atom_site_label
_atom_site_type_symbol
_atom_site_fract_x
_atom_site_fract_y
_atom_site_fract_z
_atom_site_occupancy
Pr1 Pr 0.0000 0.5000 0.3333 1
B1 B 0.0000 0.5000 0.8333 1
Pt1 Pt 0.1515 0.3030 0.0000 1



No. 5
# Pr2Re3B6 GGA-PBEsol optimized geometry
# Crystal system = monoclinic
# Total DFT energy (no corrections) = -8.87 eV per atom
# N(E_F) = 0.475 states/eV per atom
# E_form = -5.15 eV/f.u.
data_Pr2Re3B6
_chemical_formula_sum 'Pr8 Re12 B24'
_symmetry_space_group_name_H-M 'C 1 2/c 1'
_symmetry_Int_Tables_number 15
_cell_length_a 6.779
_cell_length_b 10.620
_cell_length_c 7.561
_cell_angle_alpha 90.00
_cell_angle_beta 90.94
_cell_angle_gamma 90.00
loop_
_symmetry_equiv_pos_as_xyz
'x,y,z'
'-x,-y,-z'
'-x,y,-z+1/2'
'x,-y,z+1/2'
'x+1/2,y+1/2,z'
'-x+1/2,-y+1/2,-z'
'-x+1/2,y+1/2,-z+1/2'
'x+1/2,-y+1/2,z+1/2'
loop_
_atom_site_label
_atom_site_type_symbol
_atom_site_fract_x
_atom_site_fract_y
_atom_site_fract_z
_atom_site_occupancy
Pr1 Pr 0.233 0.174 0.173 1
Re1 Re 0.000 0.084 0.750 1
Re2 Re 0.104 0.408 0.413 1
B1 B 0.105 0.046 0.467 1
B2 B 0.128 0.214 0.521 1
B3 B 0.197 0.455 0.133 1



No. 6
# PrBRh3 GGA-PBEsol optimized geometry
# Crystal system = cubic
# Total DFT energy (no corrections) = -7.99 eV per atom
# N(E_F) = 0.833 states/eV per atom
# E_form = -3.31 eV/f.u.
data_PrBRh3
_chemical_formula_sum 'Pr1 B1 Rh3'
_symmetry_space_group_name_H-M 'P m -3 m'
_symmetry_Int_Tables_number 221
_symmetry_space_group_name_Hall '-P 4 2 3'
_cell_length_a 4.208
_cell_length_b 4.208
_cell_length_c 4.208
_cell_angle_alpha 90.00
_cell_angle_beta 90.00
_cell_angle_gamma 90.00
loop_
_atom_site_label
_atom_site_type_symbol
_atom_site_fract_x
_atom_site_fract_y
_atom_site_fract_z
_atom_site_occupancy
Pr1 Pr 0.000 0.000 0.000 1
B1 B 0.500 0.500 0.500 1
Rh1 Rh 0.000 0.500 0.500 1



No. 7
# Pr4B3Rh12 GGA-PBEsol optimized geometry
# Crystal system = tetragonal
# Total DFT energy (no corrections) = -7.92 eV per atom
# N(E_F) = 0.834 states/eV per atom
# E_form = -10.97 eV/f.u.
data_Pr4B3Rh12
_chemical_formula_sum 'Pr4 B3 Rh12'
_symmetry_space_group_name_H-M 'P 4/m m m'
_symmetry_Int_Tables_number 123
_symmetry_space_group_name_Hall '-P 4 2'
_cell_length_a 4.205
_cell_length_b 4.205
_cell_length_c 16.386
_cell_angle_alpha 90.00
_cell_angle_beta 90.00
_cell_angle_gamma 90.00
loop_
_atom_site_label
_atom_site_type_symbol
_atom_site_fract_x
_atom_site_fract_y
_atom_site_fract_z
_atom_site_occupancy
Pr1 Pr 0.000 0.000 0.121 1
Pr2 Pr 0.000 0.000 0.374 1
B1 B 0.500 0.500 0.237 1
B2 B 0.500 0.500 0.500 1
Rh1 Rh 0.000 0.500 0.000 1
Rh2 Rh 0.000 0.500 0.247 1
Rh3 Rh 0.000 0.500 0.500 1
Rh4 Rh 0.500 0.500 0.112 1
Rh5 Rh 0.500 0.500 0.371 1



No. 8
# PrB4Ru4 GGA-PBEsol optimized geometry
# Crystal system = tetragonal
# Total DFT energy (no corrections) = -8.68 eV per atom
# N(E_F) = 0.797 states/eV per atom
# E_form = -4.14 eV/f.u.
data_PrB4Ru4
_chemical_formula_sum 'Pr8 B32 Ru32'
_symmetry_space_group_name_H-M 'I 41/a c d'
_symmetry_Int_Tables_number 142
_cell_length_a 7.481
_cell_length_b 7.481
_cell_length_c 15.011
_cell_angle_alpha 90.00
_cell_angle_beta 90.00
_cell_angle_gamma 90.00
loop_
_symmetry_equiv_pos_as_xyz
'x,y,z'
'-x,-y,-z'
'-y+1/4,x+3/4,z+1/4'
'y+1/4,-x+3/4,-z+1/4'
'-x+1/2,-y,z+1/2'
'x+1/2,y,-z+1/2'
'y+1/4,-x+1/4,z+3/4'
'-y+1/4,x+1/4,-z+3/4'
'x,-y,-z+1/2'
'-x,y,z+1/2'
'-y+1/4,-x+1/4,-z+1/4'
'y+1/4,x+1/4,z+1/4'
'-x+1/2,y,-z'
'x+1/2,-y,z'
'y+1/4,x+3/4,-z+3/4'
'-y+1/4,-x+3/4,z+3/4'
'x+1/2,y+1/2,z+1/2'
'-x+1/2,-y+1/2,-z+1/2'
'-y+3/4,x+1/4,z+3/4'
'y+3/4,-x+1/4,-z+3/4'
'-x,-y+1/2,z'
'x,y+1/2,-z'
'y+3/4,-x+3/4,z+1/4'
'-y+3/4,x+3/4,-z+1/4'
'x+1/2,-y+1/2,-z'
'-x+1/2,y+1/2,z'
'-y+3/4,-x+3/4,-z+3/4'
'y+3/4,x+3/4,z+3/4'
'-x,y+1/2,-z+1/2'
'x,-y+1/2,z+1/2'
'y+3/4,x+1/4,-z+1/4'
'-y+3/4,-x+1/4,z+1/4'
loop_
_atom_site_label
_atom_site_type_symbol
_atom_site_fract_x
_atom_site_fract_y
_atom_site_fract_z
_atom_site_occupancy
Pr1 Pr 0.000 0.250 0.125 1
B1 B 0.145 0.083 0.293 1
Ru1 Ru 0.116 0.106 0.437 1



No. 9
# PrB2Ru3 GGA-PBEsol optimized geometry
# Crystal system = hexagonal
# Total DFT energy (no corrections) = -8.69 eV per atom
# N(E_F) = 0.675 states/eV per atom
# E_form = -2.38 eV/f.u.
data_PrB2Ru3
_chemical_formula_sum 'Pr1 B2 Ru3'
_symmetry_space_group_name_H-M 'P 6/m m m'
_symmetry_Int_Tables_number 191
_symmetry_space_group_name_Hall '-P 6 2'
_cell_length_a 5.5230
_cell_length_b 5.5230
_cell_length_c 3.0034
_cell_angle_alpha 90.00
_cell_angle_beta 90.00
_cell_angle_gamma 120.00
loop_
_atom_site_label
_atom_site_type_symbol
_atom_site_fract_x
_atom_site_fract_y
_atom_site_fract_z
_atom_site_occupancy
Pr1 Pr 0.0000 0.0000 0.0000 1
B1 B 0.3333 0.6667 0.0000 1
Ru1 Ru 0.0000 0.5000 0.5000 1



No. 10
# PrB2Ru2 GGA-PBEsol optimized geometry
# Crystal system = orthorhombic
# Total DFT energy (no corrections) = -8.39 eV per atom
# N(E_F) = 0.492 states/eV per atom
# E_form = -2.41 eV/f.u.
data_PrB2Ru2
_chemical_formula_sum 'Pr8 B16 Ru16'
_symmetry_space_group_name_H-M 'F d d d'
_symmetry_Int_Tables_number 70
_cell_length_a 6.456
_cell_length_b 9.089
_cell_length_c 9.957
_cell_angle_alpha 90.00
_cell_angle_beta 90.00
_cell_angle_gamma 90.00
loop_
_symmetry_equiv_pos_as_xyz
'x,y,z'
'-x,-y,-z'
'-x+1/4,-y+1/4,z'
'x+1/4,y+1/4,-z'
'x,-y+1/4,-z+1/4'
'-x,y+1/4,z+1/4'
'-x+1/4,y,-z+1/4'
'x+1/4,-y,z+1/4'
'x,y+1/2,z+1/2'
'-x,-y+1/2,-z+1/2'
'-x+1/4,-y+3/4,z+1/2'
'x+1/4,y+3/4,-z+1/2'
'x,-y+3/4,-z+3/4'
'-x,y+3/4,z+3/4'
'-x+1/4,y+1/2,-z+3/4'
'x+1/4,-y+1/2,z+3/4'
'x+1/2,y,z+1/2'
'-x+1/2,-y,-z+1/2'
'-x+3/4,-y+1/4,z+1/2'
'x+3/4,y+1/4,-z+1/2'
'x+1/2,-y+1/4,-z+3/4'
'-x+1/2,y+1/4,z+3/4'
'-x+3/4,y,-z+3/4'
'x+3/4,-y,z+3/4'
'x+1/2,y+1/2,z'
'-x+1/2,-y+1/2,-z'
'-x+3/4,-y+3/4,z'
'x+3/4,y+3/4,-z'
'x+1/2,-y+3/4,-z+1/4'
'-x+1/2,y+3/4,z+1/4'
'-x+3/4,y+1/2,-z+1/4'
'x+3/4,-y+1/2,z+1/4'
loop_
_atom_site_label
_atom_site_type_symbol
_atom_site_fract_x
_atom_site_fract_y
_atom_site_fract_z
_atom_site_occupancy
Pr1 Pr 0.125 0.125 0.125 1
B1 B 0.125 0.307 0.625 1
Ru1 Ru 0.125 0.125 0.489 1



> The lowest E_form belongs to which entry?

Pr4B3Rh12



> Among the records above, which one has the highest N(E_F)?

Pr4B3Rh12